# 1
This record from OQMD describes a geometry-optimized SrLaU structure. The functional is PBE.

Cell and atoms, written as CIF:
```
data_SrLaU
_cell_length_a 5.6752
_cell_length_b 5.6752
_cell_length_c 5.6752
_cell_angle_alpha 60.00
_cell_angle_beta 60.00
_cell_angle_gamma 60.00
_symmetry_space_group_name_H-M 'P 1'
_symmetry_Int_Tables_number 1
_symmetry_space_group_name_Hall 'P 1'
loop_
_atom_site_label
_atom_site_fract_x
_atom_site_fract_y
_atom_site_fract_z
_atom_site_occupancy
U1 0.0000 0.0000 0.0000 1
La1 0.2500 0.2500 0.2500 1
Sr1 0.7500 0.7500 0.7500 1
```

Properties
The energy is -4.5120 eV/atom.

=====

# 2
This record from OQMD describes a geometry-optimized LaTa2 structure. The functional is PBE.

Cell and atoms, written as CIF:
```
data_LaTa2
_cell_length_a 5.8087
_cell_length_b 5.8087
_cell_length_c 5.8087
_cell_angle_alpha 60.00
_cell_angle_beta 60.00
_cell_angle_gamma 60.00
_symmetry_space_group_name_H-M 'P 1'
_symmetry_Int_Tables_number 1
_symmetry_space_group_name_Hall 'P 1'
loop_
_atom_site_label
_atom_site_fract_x
_atom_site_fract_y
_atom_site_fract_z
_atom_site_occupancy
La1 0.0000 0.0000 0.0000 1
La2 0.2500 0.2500 0.2500 1
Ta1 0.6250 0.1250 0.6250 1
Ta2 0.6250 0.6250 0.6250 1
Ta3 0.6250 0.6250 0.1250 1
Ta4 0.1250 0.6250 0.6250 1
```

Properties
The energy is -9.2066 eV/atom. For the energy above the lowest structure with this stoichiometry, the calculation gives 0 meV/atom. The formation energy from the elements is 1.01 eV/f.u.

=====

# 3
This record from OQMD describes a geometry-optimized LaTa2 structure. The functional is PBE.

Cell and atoms, written as CIF:
```
data_LaTa2
_cell_length_a 4.9138
_cell_length_b 4.9138
_cell_length_c 3.1604
_cell_angle_alpha 90.00
_cell_angle_beta 90.00
_cell_angle_gamma 120.00
_symmetry_space_group_name_H-M 'P 1'
_symmetry_Int_Tables_number 1
_symmetry_space_group_name_Hall 'P 1'
loop_
_atom_site_label
_atom_site_fract_x
_atom_site_fract_y
_atom_site_fract_z
_atom_site_occupancy
Ta1 0.3333 0.6667 0.3736 1
Ta2 0.6667 0.3333 0.6264 1
La1 0.0000 0.0000 0.0000 1
```

Properties
The energy is -8.9927 eV/atom. For the energy above the lowest structure with this stoichiometry, the calculation gives 214 meV/atom. The formation energy from the elements is 1.65 eV/f.u.

=====

# 4
This record from OQMD describes a geometry-optimized LaTaTe structure. The functional is PBE.

Cell and atoms, written as CIF:
```
data_LaTaTe
_cell_length_a 5.2571
_cell_length_b 5.2571
_cell_length_c 5.2571
_cell_angle_alpha 60.00
_cell_angle_beta 60.00
_cell_angle_gamma 60.00
_symmetry_space_group_name_H-M 'P 1'
_symmetry_Int_Tables_number 1
_symmetry_space_group_name_Hall 'P 1'
loop_
_atom_site_label
_atom_site_fract_x
_atom_site_fract_y
_atom_site_fract_z
_atom_site_occupancy
Te1 0.7500 0.7500 0.7500 1
La1 0.0000 0.0000 0.0000 1
Ta1 0.2500 0.2500 0.2500 1
```

Properties
The energy is -5.7792 eV/atom. For the energy above the lowest structure with this stoichiometry, the calculation gives 506 meV/atom.

=====

# 5
This record from OQMD describes a geometry-optimized LaTaTe structure. The functional is PBE.

Cell and atoms, written as CIF:
```
data_LaTaTe
_cell_length_a 4.9689
_cell_length_b 4.9689
_cell_length_c 4.9689
_cell_angle_alpha 60.00
_cell_angle_beta 60.00
_cell_angle_gamma 60.00
_symmetry_space_group_name_H-M 'P 1'
_symmetry_Int_Tables_number 1
_symmetry_space_group_name_Hall 'P 1'
loop_
_atom_site_label
_atom_site_fract_x
_atom_site_fract_y
_atom_site_fract_z
_atom_site_occupancy
Te1 0.0000 0.0000 0.0000 1
La1 0.2500 0.2500 0.2500 1
Ta1 0.7500 0.7500 0.7500 1
```

Properties
The energy is -6.2853 eV/atom. For the energy above the lowest structure with this stoichiometry, the calculation gives 0 meV/atom.

=====

# 6
This record from OQMD describes a geometry-optimized La2TaTl structure. The functional is PBE.

Cell and atoms, written as CIF:
```
data_La2TaTl
_cell_length_a 5.2867
_cell_length_b 5.2867
_cell_length_c 5.2867
_cell_angle_alpha 60.00
_cell_angle_beta 60.00
_cell_angle_gamma 60.00
_symmetry_space_group_name_H-M 'P 1'
_symmetry_Int_Tables_number 1
_symmetry_space_group_name_Hall 'P 1'
loop_
_atom_site_label
_atom_site_fract_x
_atom_site_fract_y
_atom_site_fract_z
_atom_site_occupancy
Ta1 0.2500 0.2500 0.2500 1
La1 0.7500 0.7500 0.7500 1
La2 0.0000 0.0000 0.0000 1
Tl1 0.5000 0.5000 0.5000 1
```

Properties
The energy is -5.6497 eV/atom.

=====

# 7
This record from OQMD describes a geometry-optimized LaUTa structure. The functional is PBE.

Cell and atoms, written as CIF:
```
data_LaUTa
_cell_length_a 4.8197
_cell_length_b 4.8197
_cell_length_c 4.8197
_cell_angle_alpha 60.00
_cell_angle_beta 60.00
_cell_angle_gamma 60.00
_symmetry_space_group_name_H-M 'P 1'
_symmetry_Int_Tables_number 1
_symmetry_space_group_name_Hall 'P 1'
loop_
_atom_site_label
_atom_site_fract_x
_atom_site_fract_y
_atom_site_fract_z
_atom_site_occupancy
Ta1 0.7500 0.7500 0.7500 1
U1 0.0000 0.0000 0.0000 1
La1 0.2500 0.2500 0.2500 1
```

Properties
The energy is -8.0275 eV/atom. The formation energy from the elements is 3.99 eV/f.u.

=====

# 8
This record from OQMD describes a geometry-optimized LaTb2 structure. The functional is PBE.

Cell and atoms, written as CIF:
```
data_LaTb2
_cell_length_a 6.7013
_cell_length_b 6.7013
_cell_length_c 6.7013
_cell_angle_alpha 60.00
_cell_angle_beta 60.00
_cell_angle_gamma 60.00
_symmetry_space_group_name_H-M 'P 1'
_symmetry_Int_Tables_number 1
_symmetry_space_group_name_Hall 'P 1'
loop_
_atom_site_label
_atom_site_fract_x
_atom_site_fract_y
_atom_site_fract_z
_atom_site_occupancy
La1 0.2500 0.2500 0.2500 1
La2 0.0000 0.0000 0.0000 1
Tb1 0.6250 0.6250 0.1250 1
Tb2 0.6250 0.6250 0.6250 1
Tb3 0.6250 0.1250 0.6250 1
Tb4 0.1250 0.6250 0.6250 1
```

Properties
The energy is -4.4644 eV/atom. For the energy above the lowest structure with this stoichiometry, the calculation gives 0 meV/atom. The formation energy from the elements is 0.79 eV/f.u.